Arrangement a

VASP calculation (PBE-GGA) on an optimized crystal structure of PmInAs2.

Results
D(E_F)   1.38 states/eV per cell
Theoretical density   7.43 g cm⁻³

abc: 4.849 4.849 3.896
angles: 90.00 90.00 90.00
Space group P4/mmm (No. 123)
Symmetry-distinct sites (fractional):
Pm 0.000 0.000 0.000 x1
In 0.500 0.500 0.000 x1
As 0.000 0.500 0.500 x2

---

Arrangement b

VASP calculation (PBE-GGA) on an optimized crystal structure of PmInAs2.

Results
D(E_F)   2.23 states/eV per cell
Theoretical density   6.73 g cm⁻³

abc: 3.981 3.981 6.380
angles: 90.00 90.00 90.00
Space group P4/mmm (No. 123)
Symmetry-distinct sites (fractional):
Pm 0.000 0.000 0.000 x1
In 0.000 0.000 0.500 x1
As 0.500 0.500 0.203 x2

---

Arrangement c

VASP calculation (PBE-GGA) on an optimized crystal structure of PmInAs2.

Results
D(E_F)   13.04 states/eV per cell
Theoretical density   7.13 g cm⁻³

abc: 7.254 7.254 7.254
angles: 90.00 90.00 90.00
Space group Fm-3m (No. 225)
Symmetry-distinct sites (fractional):
Pm 0.000 0.000 0.000 x4
In 0.000 0.000 0.500 x4
As 0.250 0.250 0.250 x8

---

Stability verdict: arrangement a, ahead by 7 meV/atom

---

Arrangement a

VASP calculation (PBE-GGA) on an optimized crystal structure of Pr2InAs.

Results
D(E_F)   5.42 states/eV per cell
Theoretical density   6.33 g cm⁻³

abc: 4.2041 4.2041 24.2486
angles: 90.00 90.00 120.00
Space group R-3m (No. 166, hexagonal axes)
Symmetry-distinct sites (fractional):
Pr 0.0000 0.0000 0.2381 x6
In 0.0000 0.0000 0.0000 x3
As 0.0000 0.0000 0.5000 x3

---

Arrangement b

VASP calculation (PBE-GGA) on an optimized crystal structure of Pr2InAs.

Results
D(E_F)   2.81 states/eV per cell
Theoretical density   7.15 g cm⁻³

abc: 3.921 3.921 7.120
angles: 90.00 90.00 90.00
Space group P4/mmm (No. 123)
Symmetry-distinct sites (fractional):
Pr 0.000 0.000 0.231 x2
In 0.500 0.500 0.500 x1
As 0.500 0.500 0.000 x1

---

Stability verdict: arrangement a, ahead by 122 meV/atom

---

Arrangement a

VASP calculation (PBE-GGA) on an optimized crystal structure of InAs2Pt2.

Results
D(E_F)   4.93 states/eV per cell
Theoretical density   9.87 g cm⁻³

abc: 4.309 4.309 11.874
angles: 90.00 90.00 90.00
Space group I4/mmm (No. 139)
Symmetry-distinct sites (fractional):
In 0.000 0.000 0.000 x2
As 0.000 0.000 0.361 x4
Pt 0.000 0.500 0.250 x4

---

Arrangement b

VASP calculation (PBE-GGA) on an optimized crystal structure of InAs2Pt2.

Results
D(E_F)   7.24 states/eV per cell
Theoretical density   10.96 g cm⁻³

abc: 4.096 4.096 11.823
angles: 90.00 90.00 90.00
Space group I4/mmm (No. 139)
Symmetry-distinct sites (fractional):
In 0.000 0.000 0.000 x2
As 0.000 0.500 0.250 x4
Pt 0.000 0.000 0.387 x4

---

Stability verdict: arrangement a, ahead by 51 meV/atom

---

Arrangement a

VASP calculation (PBE-GGA) on an optimized crystal structure of InAsPtSe2.

Results
D(E_F)   7.24 states/eV per cell
Theoretical density   6.72 g cm⁻³

abc: 5.373 5.373 4.645
angles: 90.00 90.00 90.00
Space group P4/mmm (No. 123)
Symmetry-distinct sites (fractional):
In 0.000 0.000 0.000 x1
As 0.500 0.500 0.000 x1
Pt 0.500 0.500 0.500 x1
Se 0.000 0.500 0.500 x2

---

Arrangement b

VASP calculation (PBE-GGA) on an optimized crystal structure of InAsPtSe2.

Results
D(E_F)   7.12 states/eV per cell
Theoretical density   6.56 g cm⁻³

abc: 5.151 5.151 5.181
angles: 90.00 90.00 90.00
Space group P4/mmm (No. 123)
Symmetry-distinct sites (fractional):
In 0.000 0.000 0.000 x1
As 0.000 0.000 0.500 x1
Pt 0.500 0.500 0.500 x1
Se 0.000 0.500 0.000 x2

---

Stability verdict: arrangement a, ahead by 896 meV/atom

---

Arrangement a

VASP calculation (PBE-GGA) on an optimized crystal structure of PuInAs2.

Results
D(E_F)   8.59 states/eV per cell
Theoretical density   9.88 g cm⁻³

abc: 4.710 4.710 3.854
angles: 90.00 90.00 90.00
Space group P4/mmm (No. 123)
Symmetry-distinct sites (fractional):
Pu 0.000 0.000 0.000 x1
In 0.500 0.500 0.000 x1
As 0.000 0.500 0.500 x2

---

Arrangement b

VASP calculation (PBE-GGA) on an optimized crystal structure of PuInAs2.

Results
D(E_F)   33.00 states/eV per cell
Theoretical density   6.30 g cm⁻³

abc: 4.4813 4.4813 23.1307
angles: 90.00 90.00 120.00
Space group R-3m (No. 166, hexagonal axes)
Symmetry-distinct sites (fractional):
Pu 0.0000 0.0000 0.0000 x3
In 0.0000 0.0000 0.5000 x3
As 0.0000 0.0000 0.3912 x6

---

Stability verdict: arrangement a, ahead by 333 meV/atom

---

Arrangement a

VASP calculation (PBE-GGA) on an optimized crystal structure of PuInAs.

Results
D(E_F)   7.93 states/eV per cell
Theoretical density   10.16 g cm⁻³

abc: 5.0792 5.0792 3.1739
angles: 90.00 90.00 120.00
Space group P-6m2 (No. 187)
Symmetry-distinct sites (fractional):
Pu 0.0000 0.0000 0.0000 x1
In 0.6667 0.3333 0.5000 x1
As 0.3333 0.6667 0.5000 x1

---

Arrangement b

VASP calculation (PBE-GGA) on an optimized crystal structure of PuInAs.

Results
D(E_F)   34.73 states/eV per cell
Theoretical density   9.63 g cm⁻³

abc: 11.988 4.469 6.347
angles: 90.00 118.37 90.00
Space group Cm (No. 8)
Symmetry-distinct sites (fractional):
Pu 0.000 0.000 0.000 x2
Pu 0.148 0.500 0.541 x2
In 0.219 0.500 0.085 x2
In 0.328 0.000 0.458 x2
As 0.322 0.000 0.889 x2
As 0.480 0.500 0.492 x2

---

Stability verdict: arrangement b, ahead by 132 meV/atom

---

Arrangement a

VASP calculation (PBE-GGA) on an optimized crystal structure of Rb3InAs.

Results
D(E_F)   11.30 states/eV per cell
Theoretical density   2.82 g cm⁻³

abc: 11.200 9.552 9.810
angles: 90.00 90.00 90.00
Space group Ima2 (No. 46)
Symmetry-distinct sites (fractional):
Rb 0.043 0.210 0.000 x8
Rb 0.250 0.592 0.194 x4
In 0.250 0.012 0.296 x4
As 0.250 0.570 0.547 x4

---

Arrangement b

VASP calculation (PBE-GGA) on an optimized crystal structure of Rb3InAs.

Results
D(E_F)   6.98 states/eV per cell
Theoretical density   2.45 g cm⁻³

abc: 6.712 6.712 6.712
angles: 90.00 90.00 90.00
Space group Pm-3m (No. 221)
Symmetry-distinct sites (fractional):
Rb 0.000 0.000 0.500 x3
In 0.500 0.500 0.500 x1
As 0.000 0.000 0.000 x1

---

Stability verdict: arrangement a, ahead by 312 meV/atom

---

Arrangement a

VASP calculation (PBE-GGA) on an optimized crystal structure of Rb2In2As.

Results
D(E_F)   6.62 states/eV per cell
Theoretical density   4.37 g cm⁻³

abc: 7.684 7.684 6.123
angles: 90.00 90.00 90.00
Space group P4/mbm (No. 127)
Symmetry-distinct sites (fractional):
Rb 0.187 0.313 0.000 x4
In 0.135 0.635 0.500 x4
As 0.000 0.000 0.500 x2

---

Arrangement b

VASP calculation (PBE-GGA) on an optimized crystal structure of Rb2In2As.

Results
D(E_F)   14.40 states/eV per cell
Theoretical density   4.21 g cm⁻³

abc: 12.761 7.800 7.983
angles: 90.00 109.44 90.00
Space group C2/c (No. 15)
Symmetry-distinct sites (fractional):
Rb 0.169 0.072 0.132 x8
In 0.084 0.371 0.445 x8
As 0.000 0.316 0.750 x4

---

Stability verdict: arrangement b, ahead by 101 meV/atom

---

Arrangement a

VASP calculation (PBE-GGA) on an optimized crystal structure of RbIn3As3.

Results
D(E_F)   5.06 states/eV per cell
Theoretical density   4.71 g cm⁻³

abc: 7.729 7.729 7.729
angles: 90.00 90.00 90.00
Space group Pm-3n (No. 223)
Symmetry-distinct sites (fractional):
Rb 0.000 0.000 0.000 x2
In 0.000 0.250 0.500 x6
As 0.000 0.500 0.250 x6

---

Arrangement b

VASP calculation (PBE-GGA) on an optimized crystal structure of RbIn3As3.

Results
D(E_F)   9.51 states/eV per cell
Theoretical density   4.60 g cm⁻³

abc: 8.0080 8.0080 25.5311
angles: 90.00 90.00 120.00
Space group R-3 (No. 148, hexagonal axes)
Symmetry-distinct sites (fractional):
Rb 0.0000 0.0000 0.1664 x6
In 0.0019 0.3382 0.2914 x18
As 0.0013 0.3313 0.7365 x18

---

Stability verdict: arrangement b, ahead by 14 meV/atom

---

Arrangement a

VASP calculation (PBE-GGA) on an optimized crystal structure of RbInAs2Se.

Results
D(E_F)   3.73 states/eV per cell
Theoretical density   4.41 g cm⁻³

abc: 5.367 5.367 5.604
angles: 90.00 90.00 90.00
Space group P4/mmm (No. 123)
Symmetry-distinct sites (fractional):
Rb 0.000 0.000 0.000 x1
In 0.500 0.500 0.500 x1
As 0.000 0.500 0.500 x2
Se 0.500 0.500 0.000 x1

---

Arrangement b

VASP calculation (PBE-GGA) on an optimized crystal structure of RbInAs2Se.

Results
D(E_F)   6.16 states/eV per cell
Theoretical density   3.53 g cm⁻³

abc: 5.819 5.819 5.966
angles: 90.00 90.00 90.00
Space group P4/mmm (No. 123)
Symmetry-distinct sites (fractional):
Rb 0.000 0.000 0.000 x1
In 0.500 0.500 0.500 x1
As 0.000 0.500 0.000 x2
Se 0.000 0.000 0.500 x1

---

Stability verdict: arrangement a, ahead by 1019 meV/atom

---

Arrangement a

VASP calculation (PBE-GGA) on an optimized crystal structure of InRe2As.

Results
D(E_F)   3.33 states/eV per cell
Theoretical density   14.35 g cm⁻³

abc: 3.099 3.099 6.774
angles: 90.00 90.00 90.00
Space group P4/mmm (No. 123)
Symmetry-distinct sites (fractional):
In 0.000 0.000 0.000 x1
Re 0.500 0.500 0.290 x2
As 0.000 0.000 0.500 x1

---

Arrangement b

VASP calculation (PBE-GGA) on an optimized crystal structure of InRe2As.

Results
D(E_F)   6.83 states/eV per cell
Theoretical density   13.81 g cm⁻³

abc: 3.107 4.282 10.160
angles: 90.00 90.00 90.00
Space group Imm2 (No. 44)
Symmetry-distinct sites (fractional):
In 0.000 0.000 0.000 x2
Re 0.000 0.000 0.549 x2
Re 0.000 0.500 0.807 x2
As 0.000 0.500 0.245 x2

---

Stability verdict: arrangement a, ahead by 73 meV/atom

---

Arrangement a

VASP calculation (PBE-GGA) on an optimized crystal structure of InRe2As.

Results
D(E_F)   2.77 states/eV per cell
Theoretical density   12.98 g cm⁻³

abc: 2.978 2.978 8.110
angles: 90.00 90.00 90.00
Space group P4mm (No. 99)
Symmetry-distinct sites (fractional):
In 0.000 0.000 0.000 x1
Re 0.000 0.000 0.453 x1
Re 0.500 0.500 0.255 x1
As 0.500 0.500 0.661 x1

---

Arrangement b

VASP calculation (PBE-GGA) on an optimized crystal structure of InRe2As.

Results
D(E_F)   3.42 states/eV per cell
Theoretical density   14.43 g cm⁻³

abc: 4.500 4.500 3.195
angles: 90.00 90.00 90.00
Space group P4/mmm (No. 123)
Symmetry-distinct sites (fractional):
In 0.000 0.000 0.000 x1
Re 0.000 0.500 0.500 x2
As 0.500 0.500 0.000 x1

---

Stability verdict: arrangement a, ahead by 533 meV/atom